(1)
First-principles (PBEsol) data for an optimized crystal structure of RbSi2AgRh, as listed in the Alexandria database.

a b c (Å): 5.2965 5.2965 4.7212
angles (deg): 90.00 90.00 90.00
Space group P4/mmm (No. 123)
Unique sites:
Rb1 0.0000 0.0000 0.0000 x1
Si1 0.0000 0.5000 0.0000 x2
Ag1 0.5000 0.5000 0.5000 x1
Rh1 0.0000 0.0000 0.5000 x1

Output
**Formation energy without anion corrections**: 227.2 kJ/mol of atoms
**E**: -0.1793 Ry/atom
**Calculated volume**: 132.4 Å³/cell
**Mass density**: 4.4 g/cm³

(2)
First-principles (PBEsol) data for an optimized crystal structure of GdSnAu, as listed in the Alexandria database.

a b c (Å): 4.6569 4.6569 7.3232
angles (deg): 90.00 90.00 120.00
Space group P6_3mc (No. 186)
Unique sites:
Gd1 0.0000 0.0000 0.0000 x2
Sn1 0.3333 0.6667 0.2755 x2
Au1 0.3333 0.6667 0.6806 x2

Output
**Calculated formation energy**: -0.877 eV/atom
**E**: -0.6189 Ry/atom
**Calculated volume**: 137.5 Å³/cell
**Mass density**: 11.4 g/cm³

(3)
First-principles (PBEsol) data for an optimized crystal structure of Zn2GaSn2, as listed in the Alexandria database.

a b c (Å): 6.8022 6.8022 4.3811
angles (deg): 90.00 90.00 90.00
Space group P4/mbm (No. 127)
Unique sites:
Zn1 0.1304 0.3696 0.0000 x4
Ga1 0.0000 0.0000 0.0000 x2
Sn1 0.1787 0.6787 0.5000 x4

Output
**Calculated formation energy**: 0.094 eV/atom
**E**: -0.2139 Ry/atom
**Calculated volume**: 202.7 Å³/cell
**Mass density**: 7.2 g/cm³

(4)
First-principles (PBEsol) data for an optimized crystal structure of Re2HgSb, as listed in the Alexandria database.

a b c (Å): 3.0564 4.6074 4.9795
angles (deg): 90.00 90.00 90.00
Space group Pmmm (No. 47)
Unique sites:
Re1 0.0000 0.0000 0.0000 x1
Re2 0.5000 0.0000 0.5000 x1
Hg1 0.0000 0.5000 0.5000 x1
Sb1 0.5000 0.5000 0.0000 x1

Output
**Formation energy without anion corrections**: 97.5 kJ/mol of atoms
**E**: -0.5098 Ry/atom
**Calculated volume**: 70.1 Å³/cell
**Polymorph energy (0 for the lowest one)**: 2.82 eV per formula unit
**Mass density**: 16.5 g/cm³

(5)
First-principles (PBEsol) data for an optimized crystal structure of Mg5Cu, as listed in the Alexandria database.

a b c (Å): 4.8505 3.1479 15.4723
angles (deg): 90.00 90.00 90.00
Space group Amm2 (No. 38)
Unique sites:
Mg1 0.0000 0.0000 0.0000 x2
Mg2 0.0000 0.0000 0.3039 x2
Mg3 0.5000 0.0000 0.1944 x2
Mg4 0.5000 0.0000 0.5375 x2
Mg5 0.5000 0.0000 0.8693 x2
Cu1 0.0000 0.0000 0.6490 x2

Output
**Calculated formation energy**: 0.041 eV/atom
**E**: -0.1552 Ry/atom
**Calculated volume**: 236.2 Å³/cell
**Polymorph energy (0 for the lowest one)**: 0.29 eV per formula unit
**Mass density**: 2.6 g/cm³

(6)
First-principles (PBEsol) data for an optimized crystal structure of Ta2AgHg, as listed in the Alexandria database.

a b c (Å): 3.4253 3.4253 6.1475
angles (deg): 90.00 90.00 90.00
Space group P4mm (No. 99)
Unique sites:
Ta1 0.0000 0.0000 0.0000 x1
Ta2 0.5000 0.5000 0.2169 x1
Ag1 0.0000 0.0000 0.4837 x1
Hg1 0.5000 0.5000 0.7236 x1

Output
**Calculated formation energy**: 0.258 eV/atom
**E**: -0.5136 Ry/atom
**Calculated volume**: 72.1 Å³/cell
**Mass density**: 15.4 g/cm³

(7)
First-principles (PBEsol) data for an optimized crystal structure of AlTl2SnIr, as listed in the Alexandria database.

a b c (Å): 5.2000 5.2000 5.0596
angles (deg): 90.00 90.00 90.00
Space group P4/mmm (No. 123)
Unique sites:
Al1 0.0000 0.0000 0.0000 x1
Tl1 0.0000 0.5000 0.5000 x2
Sn1 0.5000 0.5000 0.0000 x1
Ir1 0.5000 0.5000 0.5000 x1

Output
**Calculated formation energy**: 0.390 eV/atom
**E**: -0.3158 Ry/atom
**Calculated volume**: 136.8 Å³/cell
**Mass density**: 9.1 g/cm³

(8)
First-principles (PBEsol) data for an optimized crystal structure of NaMn2Sn2, as listed in the Alexandria database.

a b c (Å): 3.2363 3.2363 18.2881
angles (deg): 90.00 90.00 90.00
Space group I4/mmm (No. 139)
Unique sites:
Na1 0.0000 0.0000 0.0000 x2
Mn1 0.0000 0.5000 0.2500 x4
Sn1 0.0000 0.0000 0.3685 x4

Output
**Calculated formation energy**: 0.189 eV/atom
**E**: -0.4189 Ry/atom
**Calculated volume**: 191.5 Å³/cell
**Mass density**: 6.4 g/cm³